#a
A relaxed HgAsPd3 crystal, computed with PBE.

Values from the calculation:
Mass density: 9.711 Mg/m³
N(E_F): 2.746 states/eV/f.u.
Size of the total moment: 0.00 μB per cell
V: 20.34 Å³/atom

Cell: 4.6678 4.6678 4.6678 Å, 90.00 90.00 90.00°
Space group Pm-3m (No. 221)
One atom of each set of equivalent atoms:
Hg 0.0000 0.0000 0.0000
As 0.5000 0.5000 0.5000
Pd 0.0000 0.5000 0.5000

***

#b
A relaxed HgAsPd3 crystal, computed with PBE.

Values from the calculation:
Mass density: 11.038 Mg/m³
N(E_F): 1.948 states/eV/f.u.
Size of the total moment: 0.00 μB per cell
V: 17.89 Å³/atom

Cell: 4.6598 5.5725 7.0391 Å, 97.84 98.46 91.18°
Space group P1 (No. 1)
One atom of each set of equivalent atoms:
Hg 0.0000 0.0000 0.0000
Hg 0.0611 0.5532 0.2994
As 0.5876 0.5300 0.8670
As 0.6895 0.0662 0.5177
Pd 0.0749 0.3669 0.7579
Pd 0.1631 0.0744 0.4057
Pd 0.4420 0.9300 0.7732
Pd 0.5189 0.2877 0.1201
Pd 0.5588 0.8056 0.1871
Pd 0.5942 0.5144 0.5143

***

#c
A relaxed HgAsPd3 crystal, computed with PBE.

Values from the calculation:
Mass density: 10.683 Mg/m³
N(E_F): 1.774 states/eV/f.u.
Size of the total moment: 0.00 μB per cell
V: 18.49 Å³/atom

Cell: 5.6548 5.7400 7.1363 Å, 89.80 69.17 60.83°
Space group P1 (No. 1)
One atom of each set of equivalent atoms:
Hg 0.0000 0.0000 0.0000
Hg 0.4289 0.7909 0.4158
As 0.0579 0.4805 0.3453
As 0.4943 0.2514 0.7634
Pd 0.4398 0.0371 0.0732
Pd 0.4482 0.5295 0.0622
Pd 0.5143 0.2550 0.4216
Pd 0.9199 0.7796 0.6683
Pd 0.9352 0.2916 0.6583
Pd 0.9657 0.5169 0.0167

***

#d
A relaxed HgAsPd3 crystal, computed with PBE.

Values from the calculation:
Mass density: 7.906 Mg/m³
N(E_F): 3.017 states/eV/f.u.
Size of the total moment: 0.00 μB per cell
V: 24.98 Å³/atom

Cell: 4.9989 4.9989 4.9989 Å, 90.00 90.00 90.00°
Space group Pm-3m (No. 221)
One atom of each set of equivalent atoms:
Hg 0.0000 0.0000 0.0000
As 0.5000 0.5000 0.5000
Pd 0.0000 0.0000 0.5000

***

Bottom line: #b, by a margin of 4.0 kJ/mol of atoms.

***

#a
A relaxed Hg3AsPd crystal, computed with PBE.

Values from the calculation:
Mass density: 8.951 Mg/m³
N(E_F): 2.857 states/eV/f.u.
Size of the total moment: 2.05 μB per cell
V: 29.05 Å³/atom

Cell: 5.2569 5.2569 5.2569 Å, 90.00 90.00 90.00°
Space group Pm-3m (No. 221)
One atom of each set of equivalent atoms:
Hg 0.0000 0.0000 0.5000
As 0.5000 0.5000 0.5000
Pd 0.0000 0.0000 0.0000

***

#b
A relaxed Hg3AsPd crystal, computed with PBE.

Values from the calculation:
Mass density: 8.879 Mg/m³
N(E_F): 3.250 states/eV/f.u.
Size of the total moment: 0.00 μB per cell
V: 29.29 Å³/atom

Cell: 5.2712 5.2712 5.2712 Å, 90.00 90.00 90.00°
Space group Pm-3m (No. 221)
One atom of each set of equivalent atoms:
Hg 0.0000 0.0000 0.5000
As 0.0000 0.0000 0.0000
Pd 0.5000 0.5000 0.5000

***

Bottom line: #a, by a margin of 12.1 kJ/mol of atoms.

***

#a
A relaxed HgAsPd4 crystal, computed with PBE.

Values from the calculation:
Mass density: 11.136 Mg/m³
N(E_F): 2.333 states/eV/f.u.
Size of the total moment: 0.00 μB per cell
V: 17.43 Å³/atom

Cell: 5.4095 5.5027 7.6215 Å, 80.80 69.29 89.86°
Space group P-1 (No. 2)
One atom of each set of equivalent atoms:
Hg 0.1098 0.2502 0.9996
As 0.0000 0.5000 0.5000
As 0.5000 0.0000 0.5000
Pd 0.0455 0.0838 0.6561
Pd 0.2980 0.5848 0.6555
Pd 0.3223 0.5699 0.1726
Pd 0.4952 0.9300 0.8276

***

#b
A relaxed HgAsPd4 crystal, computed with PBE.

Values from the calculation:
Mass density: 11.325 Mg/m³
N(E_F): 2.433 states/eV/f.u.
Size of the total moment: 0.00 μB per cell
V: 17.14 Å³/atom

Cell: 6.8969 3.6776 16.2143 Å, 90.00 90.00 90.00°
Space group Pnma (No. 62)
One atom of each set of equivalent atoms:
Hg 0.2488 0.2500 0.1965
As 0.2490 0.7500 0.4452
Pd 0.0095 0.7500 0.5640
Pd 0.0667 0.7500 0.3030
Pd 0.1227 0.7500 0.8595
Pd 0.1358 0.7500 0.0495

***

Bottom line: #b, by a margin of 6.6 kJ/mol of atoms.

***

#a
A relaxed Hg2AsPd2 crystal, computed with PBE.

Values from the calculation:
Mass density: 11.205 Mg/m³
N(E_F): 2.432 states/eV/f.u.
Size of the total moment: 0.00 μB per cell
V: 20.42 Å³/atom

Cell: 3.8213 3.8213 13.9832 Å, 90.00 90.00 90.00°
Space group I4/mmm (No. 139)
One atom of each set of equivalent atoms:
Hg 0.0000 0.5000 0.2500
As 0.0000 0.0000 0.0000
Pd 0.0000 0.0000 0.4070

***

#b
A relaxed Hg2AsPd2 crystal, computed with PBE.

Values from the calculation:
Mass density: 11.869 Mg/m³
N(E_F): 2.044 states/eV/f.u.
Size of the total moment: 0.00 μB per cell
V: 19.28 Å³/atom

Cell: 6.7406 6.7406 4.2426 Å, 90.00 90.00 90.00°
Space group P4/mbm (No. 127)
One atom of each set of equivalent atoms:
Hg 0.1545 0.3455 0.0000
As 0.0000 0.0000 0.5000
Pd 0.1555 0.6555 0.5000

***

Bottom line: #b, by a margin of 25.2 kJ/mol of atoms.

***

#a
A relaxed HgAs2Pt2 crystal, computed with PBE.

Values from the calculation:
Mass density: 13.254 Mg/m³
N(E_F): 1.776 states/eV/f.u.
Size of the total moment: 0.00 μB per cell
V: 18.56 Å³/atom

Cell: 7.8391 7.8391 3.0198 Å, 90.00 90.00 90.00°
Space group P4/mbm (No. 127)
One atom of each set of equivalent atoms:
Hg 0.0000 0.0000 0.0000
As 0.1358 0.3642 0.5000
Pt 0.1560 0.6560 0.0000

***

#b
A relaxed HgAs2Pt2 crystal, computed with PBE.

Values from the calculation:
Mass density: 11.898 Mg/m³
N(E_F): 2.218 states/eV/f.u.
Size of the total moment: 0.00 μB per cell
V: 20.67 Å³/atom

Cell: 4.5094 4.5094 10.1662 Å, 90.00 90.00 90.00°
Space group I4/mmm (No. 139)
One atom of each set of equivalent atoms:
Hg 0.0000 0.0000 0.0000
As 0.0000 0.5000 0.2500
Pt 0.0000 0.0000 0.3664

***

Bottom line: #b, by a margin of 1.4 kJ/mol of atoms.

***

#a
A relaxed PuHgAs2 crystal, computed with PBE.

Values from the calculation:
Mass density: 7.582 Mg/m³
N(E_F): 11.625 states/eV/f.u.
Size of the total moment: 12.37 μB per cell
V: 32.55 Å³/atom

Cell: 4.4041 4.4041 23.2526 Å, 90.00 90.00 120.00°
Space group R-3m (No. 166, hexagonal axes)
One atom of each set of equivalent atoms:
Pu 0.0000 0.0000 0.0000
Hg 0.0000 0.0000 0.5000
As 0.0000 0.0000 0.3912

***

#b
A relaxed PuHgAs2 crystal, computed with PBE.

Values from the calculation:
Mass density: 11.666 Mg/m³
N(E_F): 8.695 states/eV/f.u.
Size of the total moment: 4.85 μB per cell
V: 21.15 Å³/atom

Cell: 4.6389 4.6389 3.9320 Å, 90.00 90.00 90.00°
Space group P4/mmm (No. 123)
One atom of each set of equivalent atoms:
Pu 0.0000 0.0000 0.0000
Hg 0.5000 0.5000 0.0000
As 0.0000 0.5000 0.5000

***

Bottom line: #b, by a margin of 19.4 kJ/mol of atoms.

***

#a
A relaxed Pu2HgAs crystal, computed with PBE.

Values from the calculation:
Mass density: 11.330 Mg/m³
N(E_F): 21.139 states/eV/f.u.
Size of the total moment: 35.96 μB per cell
V: 27.98 Å³/atom

Cell: 3.9649 3.9649 24.6590 Å, 90.00 90.00 120.00°
Space group R-3m (No. 166, hexagonal axes)
One atom of each set of equivalent atoms:
Pu 0.0000 0.0000 0.2380
Hg 0.0000 0.0000 0.0000
As 0.0000 0.0000 0.5000

***

#b
A relaxed Pu2HgAs crystal, computed with PBE.

Values from the calculation:
Mass density: 13.011 Mg/m³
N(E_F): 13.834 states/eV/f.u.
Size of the total moment: 11.63 μB per cell
V: 24.36 Å³/atom

Cell: 3.6599 3.6599 7.2745 Å, 90.00 90.00 90.00°
Space group P4/mmm (No. 123)
One atom of each set of equivalent atoms:
Pu 0.0000 0.0000 0.2157
Hg 0.5000 0.5000 0.5000
As 0.5000 0.5000 0.0000

***

#c
A relaxed Pu2HgAs crystal, computed with PBE.

Values from the calculation:
Mass density: 12.947 Mg/m³
N(E_F): 14.887 states/eV/f.u.
Size of the total moment: 50.47 μB per cell
V: 24.48 Å³/atom

Cell: 7.3168 7.3168 7.3168 Å, 90.00 90.00 90.00°
Space group Fm-3m (No. 225)
One atom of each set of equivalent atoms:
Pu 0.2500 0.2500 0.2500
Hg 0.0000 0.0000 0.0000
As 0.0000 0.0000 0.5000

***

Bottom line: #b, by a margin of 9.7 kJ/mol of atoms.

***

#a
A relaxed RbHg3As crystal, computed with PBE.

Values from the calculation:
Mass density: 4.128 Mg/m³
N(E_F): 9.035 states/eV/f.u.
Size of the total moment: 2.12 μB per cell
V: 61.32 Å³/atom

Cell: 6.7430 6.7430 6.7430 Å, 90.00 90.00 90.00°
Space group Pm-3m (No. 221)
One atom of each set of equivalent atoms:
Rb 0.0000 0.0000 0.0000
Hg 0.0000 0.0000 0.5000
As 0.5000 0.5000 0.5000

***

#b
A relaxed RbHg3As crystal, computed with PBE.

Values from the calculation:
Mass density: 8.393 Mg/m³
N(E_F): 2.116 states/eV/f.u.
Size of the total moment: 0.00 μB per cell
V: 30.16 Å³/atom

Cell: 7.5280 11.3470 7.0613 Å, 90.00 90.00 90.00°
Space group Cmcm (No. 63)
One atom of each set of equivalent atoms:
Rb 0.0000 0.2350 0.2500
Hg 0.0000 0.1209 0.7500
Hg 0.2258 0.5000 0.0000
As 0.0000 0.3627 0.7500

***

Bottom line: #b, by a margin of 71.9 kJ/mol of atoms.

***

#a
A relaxed RbHgAs3 crystal, computed with PBE.

Values from the calculation:
Mass density: 5.443 Mg/m³
N(E_F): 4.577 states/eV/f.u.
Size of the total moment: 0.00 μB per cell
V: 31.17 Å³/atom

Cell: 5.3813 5.3813 5.3813 Å, 90.00 90.00 90.00°
Space group Pm-3m (No. 221)
One atom of each set of equivalent atoms:
Rb 0.0000 0.0000 0.0000
Hg 0.5000 0.5000 0.5000
As 0.0000 0.5000 0.5000

***

#b
A relaxed RbHgAs3 crystal, computed with PBE.

Values from the calculation:
Mass density: 4.352 Mg/m³
N(E_F): 4.708 states/eV/f.u.
Size of the total moment: 0.00 μB per cell
V: 38.98 Å³/atom

Cell: 5.7979 5.7979 5.7979 Å, 90.00 90.00 90.00°
Space group Pm-3m (No. 221)
One atom of each set of equivalent atoms:
Rb 0.0000 0.0000 0.0000
Hg 0.5000 0.5000 0.5000
As 0.0000 0.0000 0.5000

***

Bottom line: #a, by a margin of 104.2 kJ/mol of atoms.

***

#a
A relaxed Rb2HgAs crystal, computed with PBE.

Values from the calculation:
Mass density: 4.852 Mg/m³
N(E_F): 3.294 states/eV/f.u.
Size of the total moment: 4.00 μB per cell
V: 38.20 Å³/atom

Cell: 8.4862 8.4862 8.4862 Å, 90.00 90.00 90.00°
Space group Fm-3m (No. 225)
One atom of each set of equivalent atoms:
Rb 0.2500 0.2500 0.2500
Hg 0.0000 0.0000 0.0000
As 0.0000 0.0000 0.5000

***

#b
A relaxed Rb2HgAs crystal, computed with PBE.

Values from the calculation:
Mass density: 4.597 Mg/m³
N(E_F): 2.355 states/eV/f.u.
Size of the total moment: 0.00 μB per cell
V: 40.32 Å³/atom

Cell: 6.8859 4.7501 10.1992 Å, 90.00 104.79 90.00°
Space group P2_1/m (No. 11)
One atom of each set of equivalent atoms:
Rb 0.2094 0.2500 0.4254
Rb 0.2745 0.7500 0.0726
Hg 0.3278 0.7500 0.7229
As 0.1674 0.2500 0.7815

***

#c
A relaxed Rb2HgAs crystal, computed with PBE.

Values from the calculation:
Mass density: 3.660 Mg/m³
N(E_F): 2.966 states/eV/f.u.
Size of the total moment: 4.00 μB per cell
V: 50.64 Å³/atom

Cell: 6.1092 6.1092 21.7092 Å, 90.00 90.00 90.00°
Space group I-42d (No. 122)
One atom of each set of equivalent atoms:
Rb 0.2236 0.2500 0.1250
Hg 0.0000 0.0000 0.5000
As 0.0000 0.0000 0.0000

***

Bottom line: #b, by a margin of 13.2 kJ/mol of atoms.